Record 1
KSnAu PBE relaxed; crystal system = hexagonal; total DFT energy (no corrections) = -3.04 eV/atom; ΔH_f (0 K) = -0.24 eV per atom
1.0
4.8960 0.0000 0.0000
0.0000 4.7480 0.0000
0.0000 -2.3740 4.1119
Sn Au K
1 1 1
direct
0.1664 0.3333 0.6667
0.1666 0.0000 0.0000
0.6670 0.6667 0.3333


Record 2
YLu2Be PBE relaxed; crystal system = trigonal; total DFT energy (no corrections) = -4.11 eV/atom; ΔH_f (0 K) = 0.69 eV per atom; energy relative to the lowest polymorph listed for this composition = 0.6469 eV/atom
1.0
-0.0150 2.6084 -2.1640
-2.5405 2.2424 0.0665
4.8273 7.8301 6.7506
Y Be Lu
1 1 2
direct
0.5000 0.5000 0.5000
0.0000 0.0000 0.0000
0.9161 0.9161 0.2516
0.0839 0.0839 0.7484